Entry 1:
Here is Rb3Ac2TbO6 after structural relaxation from the Alexandria database. Energies are from GGA-PBE.

Uncorrected formation energy   -2.56 eV/atom
Size of the total moment   0.00 μB per cell

Unit cell a=6.531 b=6.531 c=6.976 alpha=98.91 beta=98.91 gamma=120.05
Sites, in units of the cell vectors:
Rb1 0.162 0.838 0.500
Rb2 0.838 0.162 0.500
Rb3 0.500 0.500 0.500
Ac1 0.333 0.667 0.000
Ac2 0.667 0.333 0.000
Tb1 0.000 0.000 0.000
O1 0.940 0.627 0.818
O2 0.747 0.747 0.182
O3 0.060 0.373 0.182
O4 0.627 0.940 0.818
O5 0.253 0.253 0.818
O6 0.373 0.060 0.182

Entry 2:
Here is PmY3Ir after structural relaxation from the Alexandria database. Energies are from GGA-PBE.

Formation energy   -8.77 kcal/mol of atoms
Size of the total moment   1.27 μB per cell
Distance to the lowest polymorph of the same formula   0 meV per atom

Unit cell a=7.392 b=7.392 c=7.330 alpha=107.22 beta=113.04 gamma=108.57
Each line ends with the local moment (μB).
Sites, in units of the cell vectors:
Pm1 0.713 0.052 0.765  0.08
Pm2 0.287 0.948 0.235  0.08
Y1 0.846 0.056 0.297  0.07
Y2 0.241 0.451 0.297  0.07
Y3 0.759 0.549 0.703  0.07
Y4 0.705 0.445 0.150  0.07
Y5 0.154 0.944 0.703  0.07
Y6 0.295 0.555 0.850  0.07
Ir1 0.634 0.747 0.381  0.01
Ir2 0.366 0.253 0.619  0.01

Entry 3:
Here is TbMgSc after structural relaxation from the Alexandria database. Energies are from GGA-PBE.

Formation energy   4.13 kcal/mol of atoms
Size of the total moment   0.00 μB per cell
Distance to the lowest polymorph of the same formula   200 meV per atom

Unit cell a=3.175 b=5.473 c=9.431 alpha=90.00 beta=90.00 gamma=90.00
Sites, in units of the cell vectors:
Sc1 0.500 0.000 0.757
Sc2 0.000 0.500 0.243
Tb1 0.000 0.000 0.436
Tb2 0.500 0.500 0.564
Mg1 0.500 0.500 0.936
Mg2 0.000 0.000 0.064